The following is a PBE calculation of a relaxed SrCd4F8 crystal, from Alexandria via LeMat-Bulk.

The calculated density is 4352 kg/m³. The value obtained for the uncorrected formation energy is -2220 meV per atom.

a b c (Å): 10.1704 10.1704 10.1704
angles (deg): 90.00 90.00 90.00
Closest atoms and distances in Å follow each position.
Space group F-43m (No. 216)
One atom of each set of equivalent atoms:
Sr (0.0000, 0.0000, 0.0000) [4 per cell]  4 F 2.34
Cd (0.1249, 0.1249, 0.6249) [16 per cell]  6 F 2.34-2.47
F (0.1034, 0.1034, 0.3966) [16 per cell]  3 Cd 2.34
F (0.1329, 0.1329, 0.8671) [16 per cell]  1 Sr 2.34, 3 Cd 2.47